Ce4SmZn5: relaxed, PBE.

abc: 3.2406 3.2406 21.5478
angles: 90.00 90.00 90.00
Space group P4/mmm (No. 123)
Inequivalent atoms, fractional coordinates:
Ce (0.0000, 0.0000, 0.1003) x2
Ce (0.0000, 0.0000, 0.3014) x2
Sm (0.0000, 0.0000, 0.5000) x1
Zn (0.5000, 0.5000, 0.0000) x1
Zn (0.5000, 0.5000, 0.2006) x2
Zn (0.5000, 0.5000, 0.4009) x2

Summary:
VASP energy: -3.678 eV/atom
energy of formation: -0.20 eV per atom
total magnetic moment: 0.12 μB/cell

---

Ce2SmZn9: relaxed, PBE.

abc: 5.4126 5.4126 26.4885
angles: 90.00 90.00 120.00
Space group R-3m (No. 166, hexagonal axes)
Inequivalent atoms, fractional coordinates:
Ce (0.0000, 0.0000, 0.1477) x6
Sm (0.0000, 0.0000, 0.0000) x3
Zn (0.0000, 0.0000, 0.3354) x6
Zn (0.0000, 0.0000, 0.5000) x3
Zn (0.0041, 0.5020, 0.9190) x18

Summary:
VASP energy: -2.609 eV/atom
energy of formation: -0.27 eV per atom
total magnetic moment: 3.50 μB/cell

---

Ce2SmZn6: relaxed, PBE.

abc: 7.9738 7.9738 3.4094
angles: 90.00 90.00 120.00
Space group P6/mmm (No. 191)
Inequivalent atoms, fractional coordinates:
Ce (0.3333, 0.6667, 0.0000) x2
Sm (0.0000, 0.0000, 0.0000) x1
Zn (0.0000, 0.3323, 0.5000) x6

Summary:
VASP energy: -2.997 eV/atom
energy of formation: -0.30 eV per atom
total magnetic moment: 2.24 μB/cell

---

CeSmZn2: relaxed, PBE.

abc: 7.2733 7.2733 7.2733
angles: 90.00 90.00 90.00
Space group Fm-3m (No. 225)
Inequivalent atoms, fractional coordinates:
Ce (0.0000, 0.0000, 0.0000) x4
Sm (0.0000, 0.0000, 0.5000) x4
Zn (0.2500, 0.2500, 0.2500) x8

Summary:
VASP energy: -3.537 eV/atom
energy of formation: -0.24 eV per atom
total magnetic moment: 4.73 μB/cell

---

CeSm4Zn5: relaxed, PBE.

abc: 3.6314 3.6314 18.2507
angles: 90.00 90.00 90.00
Space group P4/mmm (No. 123)
Inequivalent atoms, fractional coordinates:
Ce (0.0000, 0.0000, 0.0000) x1
Sm (0.0000, 0.0000, 0.1999) x2
Sm (0.0000, 0.0000, 0.4001) x2
Zn (0.5000, 0.5000, 0.1005) x2
Zn (0.5000, 0.5000, 0.3001) x2
Zn (0.5000, 0.5000, 0.5000) x1

Summary:
VASP energy: -3.406 eV/atom
energy of formation: -0.29 eV per atom
total magnetic moment: 0.72 μB/cell

---

CeSm2Zr: relaxed, PBE.

abc: 3.4424 3.4424 34.3127
angles: 90.00 90.00 120.00
Space group R3m (No. 160, hexagonal axes)
Inequivalent atoms, fractional coordinates:
Ce (0.0000, 0.0000, 0.0000) x3
Sm (0.0000, 0.0000, 0.2452) x3
Sm (0.0000, 0.0000, 0.4213) x3
Zr (0.0000, 0.0000, 0.8329) x3

Summary:
VASP energy: -5.832 eV/atom
energy of formation: 0.15 eV per atom
total magnetic moment: 2.98 μB/cell

---

CeSmZr2: relaxed, PBE.

abc: 3.2897 3.2897 34.7736
angles: 90.00 90.00 120.00
Space group R-3m (No. 166, hexagonal axes)
Inequivalent atoms, fractional coordinates:
Ce (0.0000, 0.0000, 0.0000) x3
Sm (0.0000, 0.0000, 0.5000) x3
Zr (0.0000, 0.0000, 0.4092) x6

Summary:
VASP energy: -6.638 eV/atom
energy of formation: 0.30 eV per atom
total magnetic moment: 0.00 μB/cell

---

CeSmZr2: relaxed, PBE.

abc: 4.6521 4.6521 4.9191
angles: 90.00 90.00 90.00
Space group P4/mmm (No. 123)
Inequivalent atoms, fractional coordinates:
Ce (0.0000, 0.0000, 0.0000) x1
Sm (0.5000, 0.5000, 0.0000) x1
Zr (0.0000, 0.5000, 0.5000) x2

Summary:
VASP energy: -6.770 eV/atom
energy of formation: 0.17 eV per atom
total magnetic moment: 0.00 μB/cell